(1)
TiBe2Rh2 after structural relaxation. Source: the Alexandria database, functional PBE-GGA.

```
TiBe2Rh2
1.0
6.648 0.000 0.000
0.000 6.648 0.000
0.000 0.000 2.794
Ti Be Rh
2 4 4
direct
0.000 0.000 0.000
0.500 0.500 0.000
0.140 0.360 0.500
0.360 0.860 0.500
0.640 0.140 0.500
0.860 0.640 0.500
0.153 0.653 0.000
0.347 0.153 0.000
0.653 0.847 0.000
0.847 0.347 0.000
```

Results
The formation energy comes out at -2.711 eV per formula unit. The calculation puts the relative energy among the computed polymorphs at 0.114 eV per atom. Its space-group type is P4/mbm (127). The total magnetization comes out at 0.0 μB/f.u.



(2)
TiBe2Rh2 after structural relaxation. Source: the Alexandria database, functional PBE-GGA.

```
TiBe2Rh2
1.0
6.512 0.000 0.000
0.000 6.512 0.000
0.000 0.000 2.810
Ti Be Rh
2 4 4
direct
0.000 0.000 0.000
0.500 0.500 0.000
0.118 0.382 0.000
0.382 0.882 0.000
0.618 0.118 0.000
0.882 0.618 0.000
0.174 0.674 0.500
0.326 0.174 0.500
0.674 0.826 0.500
0.826 0.326 0.500
```

Results
The formation energy comes out at -3.281 eV per formula unit. The calculation puts the relative energy among the computed polymorphs at 0.000 eV per atom. Its space-group type is P4/mbm (127). The total magnetization comes out at 0.0 μB/f.u.